This record from Alexandria describes a relaxed structure of Pm4CdCuHg2. The functional is PBE.

```
data_Pm4CdCuHg2
_cell_length_a 5.3289
_cell_length_b 5.3289
_cell_length_c 25.9797
_cell_angle_alpha 90.00
_cell_angle_beta 90.00
_cell_angle_gamma 120.00
_space_group_name_H-M_alt 'R -3 m'
_space_group_IT_number 166
_space_group_name_Hall '-R 3 2"'
loop_
_atom_site_label
_atom_site_type_symbol
_atom_site_fract_x
_atom_site_fract_y
_atom_site_fract_z
Pm1 Pm 0.0000 0.0000 0.1177
Pm2 Pm 0.0000 0.0000 0.3690
Cd1 Cd 0.0000 0.0000 0.5000
Cu1 Cu 0.0000 0.0000 0.0000
Hg1 Hg 0.0000 0.0000 0.2431
```

For the total energy, the calculation gives -27.40 eV/f.u. As for the size of the total moment: 0.096 μB per atom. The energy of formation from the pure elements comes out at -0.3475 eV per atom.